[1]
VASP calculation (PBE) on an optimized crystal structure of HgIrOs2.

## Properties
DOS at the Fermi energy ... 6.03 states/eV/cell
Spin magnetization ... 0.00 μB/f.u.
Raw total energy ... -7.167 eV per atom
ΔE_f ... 738.4 meV per atom

Lattice parameters (Å, degrees): 2.752 4.496 11.001 90.00 90.00 90.00
Atoms (fractional coordinates):
Hg1 0.000 0.000 0.000
Hg2 0.500 0.500 0.500
Ir1 0.000 0.500 0.825
Ir2 0.500 0.000 0.325
Os1 0.000 0.000 0.567
Os2 0.000 0.500 0.257
Os3 0.500 0.000 0.757
Os4 0.500 0.500 0.067


[2]
VASP calculation (PBE) on an optimized crystal structure of Hg4IrOs.

## Properties
DOS at the Fermi energy ... 6.48 states/eV/cell
Spin magnetization ... 2.00 μB/f.u.
Raw total energy ... -2.237 eV per atom
ΔE_f ... 1312.6 meV per atom

Lattice parameters (Å, degrees): 5.530 5.530 5.530 60.00 60.00 60.00
Atoms (fractional coordinates):
Hg1 0.125 0.125 0.125
Hg2 0.125 0.125 0.625
Hg3 0.125 0.625 0.125
Hg4 0.625 0.125 0.125
Ir1 0.750 0.750 0.750
Os1 0.500 0.500 0.500


[3]
VASP calculation (PBE) on an optimized crystal structure of HgIrOs2.

## Properties
DOS at the Fermi energy ... 4.93 states/eV/cell
Spin magnetization ... 0.00 μB/f.u.
Raw total energy ... -7.011 eV per atom
ΔE_f ... 894.5 meV per atom

Lattice parameters (Å, degrees): 2.849 4.843 4.726 90.00 90.68 90.00
Atoms (fractional coordinates):
Hg1 0.000 0.000 0.000
Ir1 0.500 0.000 0.500
Os1 0.320 0.500 0.248
Os2 0.680 0.500 0.752


[4]
VASP calculation (PBE) on an optimized crystal structure of HgIrOs4.

## Properties
DOS at the Fermi energy ... 11.34 states/eV/cell
Spin magnetization ... 0.00 μB/f.u.
Raw total energy ... -7.960 eV per atom
ΔE_f ... 1053.4 meV per atom

Lattice parameters (Å, degrees): 5.183 5.183 5.183 60.00 60.00 60.00
Atoms (fractional coordinates):
Hg1 0.000 0.000 0.000
Ir1 0.750 0.750 0.750
Os1 0.376 0.376 0.376
Os2 0.376 0.376 0.872
Os3 0.376 0.872 0.376
Os4 0.872 0.376 0.376


[5]
VASP calculation (PBE) on an optimized crystal structure of HgIrOs3.

## Properties
DOS at the Fermi energy ... 7.31 states/eV/cell
Spin magnetization ... 0.00 μB/f.u.
Raw total energy ... -6.250 eV per atom
ΔE_f ... 2320.3 meV per atom
ΔE to the lowest computed polymorph ... 0 meV/atom

Lattice parameters (Å, degrees): 4.740 4.740 4.740 90.00 90.00 90.00
Atoms (fractional coordinates):
Hg1 0.000 0.000 0.000
Ir1 0.500 0.500 0.500
Os1 0.000 0.500 0.500
Os2 0.500 0.000 0.500
Os3 0.500 0.500 0.000


[6]
VASP calculation (PBE) on an optimized crystal structure of HgIrOs2.

## Properties
DOS at the Fermi energy ... 9.39 states/eV/cell
Spin magnetization ... 0.00 μB/f.u.
Raw total energy ... -7.155 eV per atom
ΔE_f ... 751.0 meV per atom

Lattice parameters (Å, degrees): 3.948 3.948 8.039 90.00 90.00 90.00
Atoms (fractional coordinates):
Hg1 0.000 0.000 0.000
Hg2 0.500 0.500 0.500
Ir1 0.000 0.500 0.750
Ir2 0.500 0.000 0.250
Os1 0.000 0.000 0.500
Os2 0.000 0.500 0.250
Os3 0.500 0.000 0.750
Os4 0.500 0.500 0.000


Question: What is the formula in the sixth record?
Answer: HgIrOs2